Record 1
Below is TmHgSb after structural relaxation, with properties calculated at the PBE level.

Cell: 4.5457 4.5457 4.5956 Å, 90.00 90.00 120.00°
Last column: nearest neighbours and their distance in Å.
Sites, in units of the cell vectors:
Tm (0.0000, 0.0000, 0.0000)  3 Hg 3.00, 3 Sb 3.12
Hg (0.6667, 0.3333, 0.6844)  3 Tm 3.00, 3 Sb 3.00
Sb (0.3333, 0.6667, 0.3660)  3 Hg 3.00, 3 Tm 3.12

Computed properties:
* formation energy without anion corrections: -1.44 eV/f.u.
* magnetization: 0.0 μB per cell
* calculated volume: 82 Å³/f.u.
* D(E_F): 0.1 states/eV per cell
* offset from the most stable computed form: 0.00 eV per formula unit



Record 2
Below is Tm2HgSb after structural relaxation, with properties calculated at the PBE level.

Cell: 3.8713 3.8713 6.8126 Å, 90.00 90.00 90.00°
Last column: nearest neighbours and their distance in Å.
Sites, in units of the cell vectors:
Tm (0.0000, 0.0000, 0.2456)  4 Sb 3.21, 4 Hg 3.24, 2 Tm 3.35-3.47
Tm (0.0000, 0.0000, 0.7544)  4 Sb 3.21, 4 Hg 3.24, 2 Tm 3.35-3.47
Hg (0.5000, 0.5000, 0.5000)  8 Tm 3.24, 2 Sb 3.41
Sb (0.5000, 0.5000, 0.0000)  8 Tm 3.21, 2 Hg 3.41

Computed properties:
* formation energy without anion corrections: -2.48 eV/f.u.
* magnetization: 0.7 μB per cell
* calculated volume: 102 Å³/f.u.
* D(E_F): 2.7 states/eV per cell
* offset from the most stable computed form: 0.37 eV per formula unit



Record 3
Below is TmHgSb after structural relaxation, with properties calculated at the PBE level.

Cell: 9.7118 9.7118 9.7118 Å, 159.77 147.74 38.38°
Last column: nearest neighbours and their distance in Å.
Sites, in units of the cell vectors:
Tm (0.1687, 0.1687, 0.0000)  5 Sb 3.07-3.19, 2 Hg 3.38, 2 Tm 3.41
Tm (0.8313, 0.8313, 0.0000)  5 Sb 3.07-3.19, 2 Hg 3.38, 2 Tm 3.41
Hg (0.2518, 0.0000, 0.2518)  2 Hg 2.68-2.72
Hg (0.7482, 0.0000, 0.7482)  2 Hg 2.68-2.72
Sb (0.3360, 0.3360, 0.0000)  5 Tm 3.07-3.19, 2 Sb 3.41
Sb (0.6640, 0.6640, 0.0000)  5 Tm 3.07-3.19, 2 Sb 3.41

Computed properties:
* formation energy without anion corrections: -1.00 eV/f.u.
* magnetization: 0.0 μB per cell
* calculated volume: 84 Å³/f.u.
* D(E_F): 3.0 states/eV per cell
* offset from the most stable computed form: 0.44 eV per formula unit



Record 4
Below is Tm8Hg3Sb2 after structural relaxation, with properties calculated at the PBE level.

Cell: 8.3846 8.3846 6.2427 Å, 90.04 90.04 59.29°
Last column: nearest neighbours and their distance in Å.
Sites, in units of the cell vectors:
Tm (0.0849, 0.6775, 0.3483)  2 Hg 2.95-3.15, 2 Sb 3.02-3.07
Tm (0.0913, 0.0913, 0.1462)  1 Sb 3.06, 2 Hg 3.11, 1 Tm 3.23
Tm (0.3155, 0.3155, 0.9107)  2 Hg 3.12, 2 Sb 3.13-3.28
Tm (0.3225, 0.9151, 0.6517)  2 Hg 2.95-3.15, 2 Sb 3.02-3.07
Tm (0.6775, 0.0849, 0.3483)  2 Hg 2.95-3.15, 2 Sb 3.02-3.07
Tm (0.6845, 0.6845, 0.0893)  2 Hg 3.12, 2 Sb 3.13-3.28
Tm (0.9087, 0.9087, 0.8538)  1 Sb 3.06, 2 Hg 3.11, 1 Tm 3.23
Tm (0.9151, 0.3225, 0.6517)  2 Hg 2.95-3.15, 2 Sb 3.02-3.07
Hg (0.3212, 0.6788, 0.0000)  6 Tm 2.95-3.12, 1 Hg 2.97
Hg (0.5000, 0.5000, 0.5000)  4 Tm 3.15, 4 Hg 3.46, 2 Sb 3.46
Hg (0.6788, 0.3212, 0.0000)  6 Tm 2.95-3.12, 1 Hg 2.97
Sb (0.2647, 0.2647, 0.4232)  7 Tm 3.02-3.28
Sb (0.7353, 0.7353, 0.5768)  7 Tm 3.02-3.28

Computed properties:
* formation energy without anion corrections: -4.76 eV/f.u.
* magnetization: 0.0 μB per cell
* calculated volume: 377 Å³/f.u.
* D(E_F): 13.3 states/eV per cell



Record 5
Below is Tm2HgSb after structural relaxation, with properties calculated at the PBE level.

Cell: 11.9967 11.9967 4.5170 Å, 90.00 90.00 160.29°
Last column: nearest neighbours and their distance in Å.
Sites, in units of the cell vectors:
Tm (0.0640, 0.9360, 0.7500)  1 Sb 2.98, 6 Hg 3.09-3.29
Tm (0.3199, 0.6801, 0.7500)  5 Sb 3.06-3.07, 1 Hg 3.20
Tm (0.6801, 0.3199, 0.2500)  5 Sb 3.06-3.07, 1 Hg 3.20
Tm (0.9360, 0.0640, 0.2500)  1 Sb 2.98, 6 Hg 3.09-3.29
Hg (0.4552, 0.5448, 0.7500)  7 Tm 3.09-3.29, 2 Hg 3.10
Hg (0.5448, 0.4552, 0.2500)  7 Tm 3.09-3.29, 2 Hg 3.10
Sb (0.1902, 0.8098, 0.7500)  6 Tm 2.98-3.07
Sb (0.8098, 0.1902, 0.2500)  6 Tm 2.98-3.07

Computed properties:
* formation energy without anion corrections: -2.85 eV/f.u.
* magnetization: 0.0 μB per cell
* calculated volume: 110 Å³/f.u.
* D(E_F): 3.0 states/eV per cell
* offset from the most stable computed form: 0.00 eV per formula unit



Record 6
Below is UHgSb after structural relaxation, with properties calculated at the PBE level.

Cell: 8.6594 8.6594 5.3538 Å, 90.00 90.00 90.00°
Last column: nearest neighbours and their distance in Å.
Sites, in units of the cell vectors:
U (0.0000, 0.1409, 0.0000)  1 U 2.44
U (0.0000, 0.8591, 0.0000)  1 U 2.44
U (0.1409, 0.0000, 0.5000)  1 U 2.44
U (0.8591, 0.0000, 0.5000)  1 U 2.44
Hg (0.2041, 0.5000, 0.0000)  4 Sb 3.53, 1 Hg 3.53, 2 U 3.58
Hg (0.5000, 0.2041, 0.5000)  4 Sb 3.53, 1 Hg 3.53, 2 U 3.58
Hg (0.5000, 0.7959, 0.5000)  4 Sb 3.53, 1 Hg 3.53, 2 U 3.58
Hg (0.7959, 0.5000, 0.0000)  4 Sb 3.53, 1 Hg 3.53, 2 U 3.58
Sb (0.0000, 0.3292, 0.5000)  1 Sb 2.96, 4 U 3.10-3.13
Sb (0.0000, 0.6708, 0.5000)  1 Sb 2.96, 4 U 3.10-3.13
Sb (0.3292, 0.0000, 0.0000)  1 Sb 2.96, 4 U 3.10-3.13
Sb (0.6708, 0.0000, 0.0000)  1 Sb 2.96, 4 U 3.10-3.13

Computed properties:
* formation energy without anion corrections: 0.66 eV/f.u.
* magnetization: 0.0 μB per cell
* calculated volume: 100 Å³/f.u.
* D(E_F): 13.3 states/eV per cell
* offset from the most stable computed form: 0.45 eV per formula unit



Record 7
Below is UHg2Sb after structural relaxation, with properties calculated at the PBE level.

Cell: 4.4332 4.4332 5.1036 Å, 90.00 90.00 90.00°
Last column: nearest neighbours and their distance in Å.
Sites, in units of the cell vectors:
U (0.0000, 0.0000, 0.0000)  4 Sb 3.13, 8 Hg 3.38
Hg (0.0000, 0.5000, 0.5000)  4 Hg 3.13, 4 Sb 3.38, 4 U 3.38
Hg (0.5000, 0.0000, 0.5000)  4 Hg 3.13, 4 Sb 3.38, 4 U 3.38
Sb (0.5000, 0.5000, 0.0000)  4 U 3.13, 8 Hg 3.38

Computed properties:
* formation energy without anion corrections: -0.22 eV/f.u.
* magnetization: 2.9 μB per cell
* calculated volume: 100 Å³/f.u.
* D(E_F): 7.4 states/eV per cell



Record 8
Below is UHgSb after structural relaxation, with properties calculated at the PBE level.

Cell: 5.7380 5.7380 5.7380 Å, 139.88 139.88 58.03°
Last column: nearest neighbours and their distance in Å.
Sites, in units of the cell vectors:
U (0.0000, 0.0000, 0.0000)  5 Sb 3.22-3.40, 5 Hg 3.28
Hg (0.6736, 0.6736, 0.0000)  5 Sb 3.24-3.36, 5 U 3.28
Sb (0.3385, 0.3385, 0.0000)  5 U 3.22-3.40, 5 Hg 3.24-3.36

Computed properties:
* formation energy without anion corrections: 0.27 eV/f.u.
* magnetization: 3.1 μB per cell
* calculated volume: 78 Å³/f.u.
* D(E_F): 5.5 states/eV per cell
* offset from the most stable computed form: 0.06 eV per formula unit



Record 9
Below is UHgSb after structural relaxation, with properties calculated at the PBE level.

Cell: 5.2836 5.2836 3.0932 Å, 90.00 90.00 120.00°
Last column: nearest neighbours and their distance in Å.
Sites, in units of the cell vectors:
U (0.0000, 0.0000, 0.0000)  2 U 3.09, 6 Hg 3.42, 6 Sb 3.42
Hg (0.3333, 0.6667, 0.5018)  3 Sb 3.05, 2 Hg 3.09
Sb (0.6667, 0.3333, 0.5000)  3 Hg 3.05, 2 Sb 3.09

Computed properties:
* formation energy without anion corrections: 0.21 eV/f.u.
* magnetization: 3.3 μB per cell
* calculated volume: 75 Å³/f.u.
* D(E_F): 3.6 states/eV per cell
* offset from the most stable computed form: 0.00 eV per formula unit



Record 10
Below is VHg3Sb after structural relaxation, with properties calculated at the PBE level.

Cell: 5.3107 5.3107 5.3107 Å, 90.00 90.00 90.00°
Last column: nearest neighbours and their distance in Å.
Sites, in units of the cell vectors:
V (0.0000, 0.0000, 0.0000)  6 Hg 2.66
Hg (0.0000, 0.0000, 0.5000)  2 V 2.66
Hg (0.0000, 0.5000, 0.0000)  2 V 2.66
Hg (0.5000, 0.0000, 0.0000)  2 V 2.66
Sb (0.5000, 0.5000, 0.5000)  12 Hg 3.76

Computed properties:
* formation energy without anion corrections: 3.55 eV/f.u.
* magnetization: 2.2 μB per cell
* calculated volume: 150 Å³/f.u.
* D(E_F): 5.4 states/eV per cell
* offset from the most stable computed form: 0.00 eV per formula unit



Record 11
Below is VHgSb2 after structural relaxation, with properties calculated at the PBE level.

Cell: 7.7952 7.7952 7.7952 Å, 132.11 132.11 70.06°
Last column: nearest neighbours and their distance in Å.
Sites, in units of the cell vectors:
V (0.0000, 0.0000, 0.0000)  4 Sb 2.61
V (0.7500, 0.2500, 0.5000)  4 Sb 2.61
Hg (0.2500, 0.7500, 0.5000)  4 Sb 2.90
Hg (0.5000, 0.5000, 0.0000)  4 Sb 2.90
Sb (0.0844, 0.6250, 0.9594)  2 V 2.61, 2 Hg 2.90
Sb (0.3750, 0.3344, 0.4594)  2 V 2.61, 2 Hg 2.90
Sb (0.6656, 0.1250, 0.0406)  2 V 2.61, 2 Hg 2.90
Sb (0.8750, 0.9156, 0.5406)  2 V 2.61, 2 Hg 2.90

Computed properties:
* formation energy without anion corrections: 1.55 eV/f.u.
* magnetization: 2.0 μB per cell
* calculated volume: 128 Å³/f.u.
* D(E_F): 6.5 states/eV per cell



Record 12
Below is V3HgSb after structural relaxation, with properties calculated at the PBE level.

Cell: 5.0944 5.0944 5.0944 Å, 90.00 90.00 90.00°
Last column: nearest neighbours and their distance in Å.
Sites, in units of the cell vectors:
V (0.0000, 0.0000, 0.5000)  2 Sb 2.55
V (0.0000, 0.5000, 0.0000)  2 Sb 2.55
V (0.5000, 0.0000, 0.0000)  2 Sb 2.55
Hg (0.5000, 0.5000, 0.5000)  12 V 3.60
Sb (0.0000, 0.0000, 0.0000)  6 V 2.55

Computed properties:
* formation energy without anion corrections: 6.31 eV/f.u.
* magnetization: 9.6 μB per cell
* calculated volume: 132 Å³/f.u.
* D(E_F): 9.4 states/eV per cell
* offset from the most stable computed form: 0.00 eV per formula unit



Record 13
Below is V2HgSb after structural relaxation, with properties calculated at the PBE level.

Cell: 4.7665 4.7665 4.7665 Å, 60.00 60.00 60.00°
Last column: nearest neighbours and their distance in Å.
Sites, in units of the cell vectors:
V (0.2500, 0.2500, 0.2500)  4 Hg 2.92, 4 Sb 2.92
V (0.7500, 0.7500, 0.7500)  4 Hg 2.92, 4 Sb 2.92
Hg (0.0000, 0.0000, 0.0000)  8 V 2.92
Sb (0.5000, 0.5000, 0.5000)  8 V 2.92

Computed properties:
* formation energy without anion corrections: 1.50 eV/f.u.
* magnetization: 5.8 μB per cell
* calculated volume: 77 Å³/f.u.
* D(E_F): 5.3 states/eV per cell
* offset from the most stable computed form: 0.00 eV per formula unit